Computed, not measured: a relaxed RbAgSbBr6 crystal at the PBE level of DFT.

The structure in CIF format:
```
data_RbAgSbBr6
_cell_length_a 7.3671
_cell_length_b 7.3671
_cell_length_c 7.5626
_cell_angle_alpha 90.00
_cell_angle_beta 90.00
_cell_angle_gamma 120.00
_symmetry_space_group_name_H-M 'P 3 1 2'
_symmetry_Int_Tables_number 149
loop_
_symmetry_equiv_pos_as_xyz
'x,y,z'
'-y,x-y,z'
'-x+y,-x,z'
'-y,-x,-z'
'-x+y,y,-z'
'x,x-y,-z'
loop_
_atom_site_label
_atom_site_fract_x
_atom_site_fract_y
_atom_site_fract_z
Rb1 0.0000 0.0000 0.0000
Ag1 0.3333 0.6667 0.5000
Sb1 0.6667 0.3333 0.5000
Br1 0.3811 0.0147 0.7103
```

Computed properties:
ρ ... 3.71 g/cm3
Energy ... -2.71 eV per atom
Crystal system ... trigonal



Computed, not measured: a relaxed ZrIn2Hg crystal at the PBE level of DFT.

The structure in CIF format:
```
data_ZrIn2Hg
_cell_length_a 4.5189
_cell_length_b 4.5189
_cell_length_c 17.5645
_cell_angle_alpha 90.00
_cell_angle_beta 90.00
_cell_angle_gamma 120.00
_symmetry_space_group_name_H-M 'R 3 m'
_symmetry_Int_Tables_number 160
_symmetry_space_group_name_Hall 'R 3 -2"'
loop_
_atom_site_label
_atom_site_fract_x
_atom_site_fract_y
_atom_site_fract_z
Zr1 0.0000 0.0000 0.0000
In1 0.0000 0.0000 0.4209
In2 0.0000 0.0000 0.5929
Hg1 0.0000 0.0000 0.1770
```

Computed properties:
ρ ... 8.36 g/cm3
Energy ... -3.44 eV per atom
Formation energy from the elements ... 0.1434 eV/atom
Crystal system ... trigonal